Record 1
Entry from the Alexandria database: crystalline Th8Bi2Os3 at its relaxed geometry (PBE).

Values from the calculation:
Fermi-level density of states, states/eV/cell: 10.48
ΔH_f (0 K), meV per atom: -220
Total DFT energy (no corrections), eV per atom: -7.9748

The structure in CIF format:
```
data_Th8Bi2Os3
_chemical_formula_sum 'Th8 Bi2 Os3'
_space_group_name_H-M_alt 'P 1'
_space_group_IT_number 1
_space_group_name_Hall 'P 1'
_cell_length_a 7.163
_cell_length_b 8.231
_cell_length_c 9.132
_cell_angle_alpha 116.79
_cell_angle_beta 104.22
_cell_angle_gamma 90.00
loop_
_atom_site_label
_atom_site_type_symbol
_atom_site_fract_x
_atom_site_fract_y
_atom_site_fract_z
_atom_site_occupancy
Th1 Th 0.393 0.851 0.199 1
Os1 Os 0.000 0.746 0.000 1
Th2 Th 0.607 0.149 0.801 1
Th3 Th 0.108 0.904 0.808 1
Bi1 Bi 0.333 0.252 0.504 1
Th4 Th 0.094 0.402 0.805 1
Th5 Th 0.607 0.653 0.801 1
Th6 Th 0.906 0.598 0.195 1
Th7 Th 0.393 0.347 0.199 1
Os2 Os 0.000 0.254 0.000 1
Th8 Th 0.892 0.096 0.192 1
Bi2 Bi 0.667 0.748 0.496 1
Os3 Os 0.500 0.000 0.000 1
```

---

Record 2
Entry from the Alexandria database: crystalline Th4Bi2Os at its relaxed geometry (PBE).

Values from the calculation:
Fermi-level density of states, states/eV/cell: 14.21
ΔH_f (0 K), meV per atom: -321
Total DFT energy (no corrections), eV per atom: -7.2737

The structure in CIF format:
```
data_Th4Bi2Os
_chemical_formula_sum 'Th8 Bi4 Os2'
_space_group_name_H-M_alt 'P 1'
_space_group_IT_number 1
_space_group_name_Hall 'P 1'
_cell_length_a 6.562
_cell_length_b 6.704
_cell_length_c 10.615
_cell_angle_alpha 90.00
_cell_angle_beta 113.74
_cell_angle_gamma 90.00
loop_
_atom_site_label
_atom_site_type_symbol
_atom_site_fract_x
_atom_site_fract_y
_atom_site_fract_z
_atom_site_occupancy
Os1 Os 0.836 0.250 0.829 1
Bi1 Bi 0.258 0.250 0.443 1
Th1 Th 0.488 0.985 0.742 1
Bi2 Bi 0.687 0.750 0.051 1
Th2 Th 0.929 0.250 0.104 1
Th3 Th 0.512 0.485 0.258 1
Th4 Th 0.892 0.250 0.594 1
Th5 Th 0.108 0.750 0.406 1
Th6 Th 0.488 0.515 0.742 1
Bi3 Bi 0.742 0.750 0.557 1
Th7 Th 0.512 0.015 0.258 1
Th8 Th 0.071 0.750 0.896 1
Bi4 Bi 0.313 0.250 0.949 1
Os2 Os 0.164 0.750 0.171 1
```

---

Record 3
Entry from the Alexandria database: crystalline Th7Bi2Os2 at its relaxed geometry (PBE).

Values from the calculation:
ΔE to the lowest computed polymorph, kJ/mol of formula units: 181
Fermi-level density of states, states/eV/cell: 11.15
ΔH_f (0 K), meV per atom: -182
Total DFT energy (no corrections), eV per atom: -7.6516

The structure in CIF format:
```
data_Th7Bi2Os2
_chemical_formula_sum 'Th7 Bi2 Os2'
_space_group_name_H-M_alt 'P 1'
_space_group_IT_number 1
_space_group_name_Hall 'P 1'
_cell_length_a 7.075
_cell_length_b 7.144
_cell_length_c 7.075
_cell_angle_alpha 90.02
_cell_angle_beta 101.31
_cell_angle_gamma 89.98
loop_
_atom_site_label
_atom_site_type_symbol
_atom_site_fract_x
_atom_site_fract_y
_atom_site_fract_z
_atom_site_occupancy
Bi1 Bi 0.182 0.500 0.182 1
Os1 Os 0.739 0.000 0.261 1
Th1 Th 0.000 0.749 0.500 1
Th2 Th 0.500 0.765 0.500 1
Th3 Th 0.500 0.235 0.500 1
Bi2 Bi 0.818 0.500 0.818 1
Os2 Os 0.261 0.000 0.739 1
Th4 Th 0.500 0.749 0.000 1
Th5 Th 0.500 0.251 0.000 1
Th6 Th 0.000 0.251 0.500 1
Th7 Th 0.000 0.000 0.000 1
```

---

Record 4
Entry from the Alexandria database: crystalline Th4Bi5Os at its relaxed geometry (PBE).

Values from the calculation:
Fermi-level density of states, states/eV/cell: 8.76
ΔH_f (0 K), meV per atom: -342
Total DFT energy (no corrections), eV per atom: -6.3730

The structure in CIF format:
```
data_Th4Bi5Os
_chemical_formula_sum 'Th4 Bi5 Os1'
_space_group_name_H-M_alt 'P 1'
_space_group_IT_number 1
_space_group_name_Hall 'P 1'
_cell_length_a 4.425
_cell_length_b 8.568
_cell_length_c 9.599
_cell_angle_alpha 74.79
_cell_angle_beta 103.33
_cell_angle_gamma 90.00
loop_
_atom_site_label
_atom_site_type_symbol
_atom_site_fract_x
_atom_site_fract_y
_atom_site_fract_z
_atom_site_occupancy
Bi1 Bi 0.864 0.638 0.728 1
Bi2 Bi 0.500 0.500 0.000 1
Bi3 Bi 0.216 0.777 0.433 1
Th1 Th 0.639 0.060 0.278 1
Os1 Os 0.500 0.000 0.000 1
Bi4 Bi 0.136 0.362 0.272 1
Bi5 Bi 0.784 0.223 0.567 1
Th2 Th 0.957 0.227 0.914 1
Th3 Th 0.361 0.940 0.722 1
Th4 Th 0.043 0.773 0.086 1
```

---

Record 5
Entry from the Alexandria database: crystalline Th4BiOs at its relaxed geometry (PBE).

Values from the calculation:
ΔE to the lowest computed polymorph, kJ/mol of formula units: 110
Fermi-level density of states, states/eV/cell: 12.00
ΔH_f (0 K), meV per atom: -146
Total DFT energy (no corrections), eV per atom: -7.6108

The structure in CIF format:
```
data_Th4BiOs
_chemical_formula_sum 'Th8 Bi2 Os2'
_space_group_name_H-M_alt 'P 1'
_space_group_IT_number 1
_space_group_name_Hall 'P 1'
_cell_length_a 6.488
_cell_length_b 7.251
_cell_length_c 9.319
_cell_angle_alpha 90.00
_cell_angle_beta 62.99
_cell_angle_gamma 90.00
loop_
_atom_site_label
_atom_site_type_symbol
_atom_site_fract_x
_atom_site_fract_y
_atom_site_fract_z
_atom_site_occupancy
Th1 Th 0.522 0.165 0.754 1
Th2 Th 0.022 0.335 0.754 1
Os1 Os 0.500 0.000 0.500 1
Bi1 Bi 0.500 0.500 0.000 1
Os2 Os 0.000 0.500 0.500 1
Th3 Th 0.512 0.650 0.654 1
Th4 Th 0.478 0.835 0.246 1
Th5 Th 0.978 0.665 0.246 1
Th6 Th 0.488 0.350 0.346 1
Bi2 Bi 0.000 0.000 0.000 1
Th7 Th 0.988 0.150 0.346 1
Th8 Th 0.012 0.850 0.654 1
```

---

Record 6
Entry from the Alexandria database: crystalline Th4BiOs2 at its relaxed geometry (PBE).

Values from the calculation:
ΔE to the lowest computed polymorph, kJ/mol of formula units: 0
Fermi-level density of states, states/eV/cell: 8.62
ΔH_f (0 K), meV per atom: -433
Total DFT energy (no corrections), eV per atom: -8.4363

The structure in CIF format:
```
data_Th4BiOs2
_chemical_formula_sum 'Th8 Bi2 Os4'
_space_group_name_H-M_alt 'P 1'
_space_group_IT_number 1
_space_group_name_Hall 'P 1'
_cell_length_a 4.314
_cell_length_b 7.148
_cell_length_c 14.081
_cell_angle_alpha 90.00
_cell_angle_beta 90.00
_cell_angle_gamma 107.57
loop_
_atom_site_label
_atom_site_type_symbol
_atom_site_fract_x
_atom_site_fract_y
_atom_site_fract_z
_atom_site_occupancy
Th1 Th 0.237 0.475 0.608 1
Th2 Th 0.077 0.154 0.250 1
Bi1 Bi 0.608 0.216 0.750 1
Bi2 Bi 0.392 0.784 0.250 1
Th3 Th 0.923 0.846 0.750 1
Th4 Th 0.763 0.525 0.392 1
Th5 Th 0.237 0.475 0.892 1
Os1 Os 0.874 0.748 0.941 1
Th6 Th 0.500 0.000 0.500 1
Os2 Os 0.126 0.252 0.441 1
Os3 Os 0.126 0.252 0.059 1
Os4 Os 0.874 0.748 0.559 1
Th7 Th 0.763 0.525 0.108 1
Th8 Th 0.500 0.000 0.000 1
```